(1)
The following is a DFT calculation (SCAN) of a crystal of ScSbAs2Br relaxed with PBEsol.

It has space group P4/mmm (No. 123), with a = 5.217 Å, b = 5.217 Å, c = 5.202 Å, α = 90.00°, β = 90.00° and γ = 90.00°. The asymmetric unit holds Sc at (0.000, 0.000, 0.000), Sb at (0.500, 0.500, 0.500), As at (0.000, 0.500, 0.500) and Br at (0.500, 0.500, 0.000).

For the density of states at the Fermi level, the calculation gives 2.39 states/eV/f.u.

=====

(2)
The following is a DFT calculation (SCAN) of a crystal of SbAsSeBr2 relaxed with PBEsol.

It has space group P4/mmm (No. 123), with a = 5.367 Å, b = 5.367 Å, c = 5.541 Å, α = 90.00°, β = 90.00° and γ = 90.00°. The asymmetric unit holds Sb at (0.000, 0.000, 0.000), As at (0.500, 0.500, 0.500), Se at (0.000, 0.000, 0.500) and Br at (0.000, 0.500, 0.000).

For the density of states at the Fermi level, the calculation gives 2.26 states/eV/f.u.

=====

(3)
The following is a DFT calculation (SCAN) of a crystal of Sr2SbAsBr relaxed with PBEsol.

It has space group P4/mmm (No. 123), with a = 5.798 Å, b = 5.798 Å, c = 4.997 Å, α = 90.00°, β = 90.00° and γ = 90.00°. The asymmetric unit holds Sr at (0.000, 0.500, 0.000), Sb at (0.000, 0.000, 0.500), As at (0.500, 0.500, 0.500) and Br at (0.500, 0.500, 0.000).

For the density of states at the Fermi level, the calculation gives 2.40 states/eV/f.u.

=====

(4)
The following is a DFT calculation (SCAN) of a crystal of TcSbAs2Br relaxed with PBEsol.

It has space group P4/mmm (No. 123), with a = 4.698 Å, b = 4.698 Å, c = 5.227 Å, α = 90.00°, β = 90.00° and γ = 90.00°. The asymmetric unit holds Tc at (0.000, 0.000, 0.000), Sb at (0.500, 0.500, 0.500), As at (0.000, 0.500, 0.000) and Br at (0.000, 0.000, 0.500).

For the density of states at the Fermi level, the calculation gives 4.62 states/eV/f.u.

=====

(5)
The following is a DFT calculation (SCAN) of a crystal of SbAs2WBr relaxed with PBEsol.

It has space group P4/mmm (No. 123), with a = 4.904 Å, b = 4.904 Å, c = 4.926 Å, α = 90.00°, β = 90.00° and γ = 90.00°. The asymmetric unit holds Sb at (0.000, 0.000, 0.000), As at (0.000, 0.500, 0.500), W at (0.500, 0.500, 0.500) and Br at (0.500, 0.500, 0.000).

For the density of states at the Fermi level, the calculation gives 4.76 states/eV/f.u.

=====

(6)
The following is a DFT calculation (SCAN) of a crystal of YSbAsBr2 relaxed with PBEsol.

It has space group P4/mmm (No. 123), with a = 5.321 Å, b = 5.321 Å, c = 5.487 Å, α = 90.00°, β = 90.00° and γ = 90.00°. The asymmetric unit holds Y at (0.000, 0.000, 0.000), Sb at (0.500, 0.500, 0.500), As at (0.500, 0.500, 0.000) and Br at (0.000, 0.500, 0.500).

For the density of states at the Fermi level, the calculation gives 3.40 states/eV/f.u.

=====

(7)
The following is a DFT calculation (SCAN) of a crystal of ZrSbAsBr2 relaxed with PBEsol.

It has space group P4/mmm (No. 123), with a = 5.260 Å, b = 5.260 Å, c = 5.449 Å, α = 90.00°, β = 90.00° and γ = 90.00°. The asymmetric unit holds Zr at (0.000, 0.000, 0.000), Sb at (0.500, 0.500, 0.500), As at (0.500, 0.500, 0.000) and Br at (0.000, 0.500, 0.500).

For the polymorph energy (0 for the lowest one), the calculation gives 772 meV/atom. For the density of states at the Fermi level, the calculation gives 1.64 states/eV/f.u.

=====

(8)
The following is a DFT calculation (SCAN) of a crystal of Zr2SbAsBr relaxed with PBEsol.

It has space group P4/mmm (No. 123), with a = 4.930 Å, b = 4.930 Å, c = 5.303 Å, α = 90.00°, β = 90.00° and γ = 90.00°. The asymmetric unit holds Zr at (0.000, 0.500, 0.000), Sb at (0.000, 0.000, 0.500), As at (0.500, 0.500, 0.500) and Br at (0.000, 0.000, 0.000).

For the density of states at the Fermi level, the calculation gives 3.78 states/eV/f.u.

=====

For the records above, the corresponding E_tot values read -21.8328, -22.8907, -24.7857, -25.9315, -32.6389, -24.8374, -24.8655, -26.8698 eV/atom.